DFT (PBE) results for a relaxed structure of TbPm8Mg6.

The structure in extended XYZ format:
```
15
Lattice="-2.974 1.754 8.579 -8.969 1.648 1.538 -5.000 -5.313 4.338" Properties=species:S:1:pos:R:3 pbc="T T T"
Mg -6.095 1.401 9.226
Mg -9.823 -2.693 10.445
Pm -11.617 -1.348 7.871
Mg -7.120 0.782 4.011
Tb 0.000 0.000 0.000
Pm -7.616 -2.484 4.508
Pm -6.627 -1.859 9.727
Pm -8.980 -4.176 7.710
Pm -10.316 -0.053 4.729
Pm -9.326 0.572 9.947
Mg -10.848 -3.312 5.229
Pm -7.962 2.265 6.746
Pm -5.326 -0.564 6.584
Mg -5.844 -3.830 7.052
Mg -11.099 1.918 7.403
```

Results
Energy relative to the elements = 159 meV/atom
DOS(E_F) = 1.61 states/eV/atom